# LiTcSbAs

LiTcSbAs after structural relaxation (PBE, OQMD).

The space group is F-43m (No. 216) and the conventional cell measures 6.4262, 6.4262 and 6.4262 Å, with angles of 90.00, 90.00 and 90.00 degrees. The distinct sites, in fractional coordinates, are Li at (0.0000, 0.0000, 0.0000), Tc at (0.0000, 0.0000, 0.5000), Sb at (0.2500, 0.2500, 0.7500) and As at (0.2500, 0.2500, 0.2500).

The calculation puts the total energy at -5.348 eV/atom. For the polymorph energy (0 for the lowest one), the calculation gives 0 meV/atom.